1.
DFT (PBE-GGA) results for a relaxed structure of LaGeIO2.

Computed properties:
Magnetization, μB/f.u.: 0.00
Fermi-level density of states, states/eV per cell: 2.15
Energy above the lowest structure with this stoichiometry, meV per atom: 243
Symmetry: P4/mmm (123)
Calculated total energy, eV per atom: -5.009

a b c (Å): 4.3420 4.3420 5.3504
angles (deg): 90.00 90.00 90.00
Closest atoms and distances in Å follow each position.
Fractional coordinates of all 5 atoms:
I 0.0000 0.0000 0.5000  2 Ge 2.68
Ge 0.0000 0.0000 0.0000  4 O 2.17
O 0.0000 0.5000 0.0000  2 Ge 2.17
O 0.5000 0.0000 0.0000  2 Ge 2.17
La 0.5000 0.5000 0.5000  4 I 3.07

=====

2.
DFT (PBE-GGA) results for a relaxed structure of LaGeI2O.

Computed properties:
Magnetization, μB/f.u.: 0.96
Fermi-level density of states, states/eV per cell: 3.43
Energy above the lowest structure with this stoichiometry, meV per atom: 0
Symmetry: P4/mmm (123)
Calculated total energy, eV per atom: -4.523

a b c (Å): 6.5281 6.5281 4.2832
angles (deg): 90.00 90.00 90.00
Closest atoms and distances in Å follow each position.
Fractional coordinates of all 5 atoms:
I 0.0000 0.5000 0.0000  2 La 3.26
I 0.5000 0.0000 0.0000  2 La 3.26
Ge 0.5000 0.5000 0.5000  8 I 3.90, 2 Ge 4.28
O 0.0000 0.0000 0.5000  2 La 2.14
La 0.0000 0.0000 0.0000  2 O 2.14

=====

3.
DFT (PBE-GGA) results for a relaxed structure of La8GeOs3I4.

Computed properties:
Magnetization, μB/f.u.: 0.00
Fermi-level density of states, states/eV per cell: 10.23
Symmetry: R-3m (166)
Calculated total energy, eV per atom: -6.041

a b c (Å): 8.6469 9.5482 8.6476
angles (deg): 116.95 120.00 90.00
Closest atoms and distances in Å follow each position.
Fractional coordinates of all 16 atoms:
La 0.2364 0.6825 0.9466  2 Os 2.85, 1 Ge 3.02
La 0.2363 0.6825 0.4725  2 Os 2.85, 1 Ge 3.02
La 0.2687 0.3064 0.5373  3 Os 2.95
La 0.7102 0.6825 0.9466  2 Os 2.85, 1 Ge 3.02
La 0.2898 0.3175 0.0534  2 Os 2.85, 1 Ge 3.02
La 0.7313 0.6936 0.4627  3 Os 2.95
La 0.7637 0.3175 0.5275  2 Os 2.85, 1 Ge 3.02
La 0.7637 0.3175 0.0534  2 Os 2.85, 1 Ge 3.02
Ge 0.0000 0.5000 0.0000  6 La 3.02
Os 0.5000 0.5000 0.0000  6 La 2.85-2.95
Os 0.5000 0.5000 0.5000  6 La 2.85-2.95
Os 0.0000 0.5000 0.5000  6 La 2.85-2.95
I 0.5000 0.0000 0.0000  6 La 3.50
I 0.5000 0.0000 0.5000  6 La 3.53-3.64
I 0.0000 0.0000 0.0000  6 La 3.53-3.64
I 0.0000 0.0000 0.5000  6 La 3.53-3.64

=====

4.
DFT (PBE-GGA) results for a relaxed structure of La8Ge3OsI4.

Computed properties:
Magnetization, μB/f.u.: 0.00
Fermi-level density of states, states/eV per cell: 13.88
Symmetry: C2/m (12)
Calculated total energy, eV per atom: -5.408

a b c (Å): 8.8399 9.3956 8.9045
angles (deg): 118.52 119.76 90.00
Closest atoms and distances in Å follow each position.
Fractional coordinates of all 16 atoms:
La 0.2198 0.6919 0.9722  1 Os 2.83, 2 Ge 3.04-3.06
La 0.2299 0.7006 0.4597  1 Os 2.97, 2 Ge 3.03
La 0.2647 0.2939 0.5294  3 Ge 3.03-3.04
La 0.7524 0.6919 0.9722  1 Os 2.83, 2 Ge 3.04-3.06
La 0.2476 0.3081 0.0278  1 Os 2.83, 2 Ge 3.04-3.06
La 0.7353 0.7061 0.4706  3 Ge 3.03-3.04
La 0.7701 0.2994 0.5403  1 Os 2.97, 2 Ge 3.03
La 0.7802 0.3081 0.0278  1 Os 2.83, 2 Ge 3.04-3.06
Ge 0.5000 0.5000 0.0000  6 La 3.04
Ge 0.5000 0.5000 0.5000  6 La 3.03-3.06
Ge 0.0000 0.5000 0.5000  6 La 3.03-3.06
Os 0.0000 0.5000 0.0000  6 La 2.83-2.97
I 0.5000 0.0000 0.0000  6 La 3.53-3.64
I 0.5000 0.0000 0.5000  6 La 3.45-3.47
I 0.0000 0.0000 0.0000  6 La 3.46-3.47
I 0.0000 0.0000 0.5000  6 La 3.45-3.47

=====

5.
DFT (PBE-GGA) results for a relaxed structure of LaGeOs2I.

Computed properties:
Magnetization, μB/f.u.: 1.63
Fermi-level density of states, states/eV per cell: 7.02
Symmetry: P4/mmm (123)
Calculated total energy, eV per atom: -4.680

a b c (Å): 4.9583 6.1621 4.9583
angles (deg): 90.00 90.00 90.00
Closest atoms and distances in Å follow each position.
Fractional coordinates of all 5 atoms:
I 0.0000 0.5000 0.0000  2 La 3.08
Ge 0.5000 0.5000 0.5000  4 I 3.51
Os 0.0000 0.0000 0.5000  2 La 2.48
Os 0.5000 0.0000 0.0000  2 La 2.48
La 0.0000 0.0000 0.0000  4 Os 2.48

=====

6.
DFT (PBE-GGA) results for a relaxed structure of La6Ge2PI3.

Computed properties:
Magnetization, μB/f.u.: 0.00
Fermi-level density of states, states/eV per cell: 6.43
Symmetry: C2/m (12)
Calculated total energy, eV per atom: -5.292

a b c (Å): 7.6248 7.6248 8.2279
angles (deg): 98.88 98.88 119.99
Closest atoms and distances in Å follow each position.
Fractional coordinates of all 12 atoms:
La 0.9337 0.6066 0.8005  1 P 2.94, 2 Ge 3.00-3.01
La 0.7401 0.7401 0.2003  1 P 2.94, 2 Ge 3.00
La 0.0663 0.3934 0.1995  1 P 2.94, 2 Ge 3.00-3.01
La 0.6066 0.9337 0.8005  1 P 2.94, 2 Ge 3.00-3.01
La 0.2599 0.2599 0.7997  1 P 2.94, 2 Ge 3.00
La 0.3934 0.0663 0.1995  1 P 2.94, 2 Ge 3.00-3.01
Ge 0.3337 0.6663 0.0000  6 La 3.00-3.01
Ge 0.6663 0.3337 0.0000  6 La 3.00-3.01
P 0.0000 0.0000 0.0000  6 La 2.94
I 0.1691 0.8309 0.5000  6 La 3.45-3.48
I 0.8309 0.1691 0.5000  6 La 3.45-3.48
I 0.5000 0.5000 0.5000  6 La 3.45-3.50

=====

7.
DFT (PBE-GGA) results for a relaxed structure of La6Ge2PbI3.

Computed properties:
Magnetization, μB/f.u.: 0.00
Fermi-level density of states, states/eV per cell: 6.21
Symmetry: C2/m (12)
Calculated total energy, eV per atom: -4.953

a b c (Å): 4.5485 9.3248 10.3639
angles (deg): 104.22 102.68 90.00
Closest atoms and distances in Å follow each position.
Fractional coordinates of all 12 atoms:
La 0.3347 0.8776 0.6694  2 Ge 3.03, 1 Pb 3.25, 1 I 3.39
La 0.6772 0.5617 0.3543  3 Ge 3.03-3.06
La 0.6653 0.1224 0.3306  2 Ge 3.03, 1 Pb 3.25, 1 I 3.39
La 0.0149 0.2471 0.0299  1 Ge 3.00, 2 Pb 3.20, 2 I 3.34
La 0.9851 0.7529 0.9701  1 Ge 3.00, 2 Pb 3.20, 2 I 3.34
La 0.3229 0.4383 0.6457  3 Ge 3.03-3.06
Ge 0.8319 0.6619 0.6638  6 La 3.00-3.06
Ge 0.1681 0.3381 0.3362  6 La 3.00-3.06
Pb 0.5000 0.0000 0.0000  6 La 3.20-3.25
I 0.5000 0.5000 0.0000  6 La 3.34-3.48
I 0.8367 0.1654 0.6734  6 La 3.39-3.51
I 0.1633 0.8346 0.3266  6 La 3.39-3.51

=====

8.
DFT (PBE-GGA) results for a relaxed structure of La8Ge3PbI4.

Computed properties:
Magnetization, μB/f.u.: 0.00
Fermi-level density of states, states/eV per cell: 8.50
Symmetry: R-3m (166)
Calculated total energy, eV per atom: -4.987

a b c (Å): 9.0880 9.3068 9.0879
angles (deg): 119.22 120.00 90.00
Closest atoms and distances in Å follow each position.
Fractional coordinates of all 16 atoms:
La 0.2444 0.7111 0.9668  2 Ge 3.04, 1 Pb 3.18, 1 I 3.35
La 0.2444 0.7111 0.4887  2 Ge 3.04, 1 Pb 3.18, 1 I 3.35
La 0.2656 0.2968 0.5312  3 Ge 3.05
La 0.7224 0.7111 0.9668  2 Ge 3.04, 1 Pb 3.18, 1 I 3.35
La 0.2776 0.2889 0.0332  2 Ge 3.04, 1 Pb 3.18, 1 I 3.35
La 0.7344 0.7032 0.4688  3 Ge 3.05
La 0.7556 0.2889 0.5113  2 Ge 3.04, 1 Pb 3.18, 1 I 3.35
La 0.7556 0.2889 0.0332  2 Ge 3.04, 1 Pb 3.18, 1 I 3.35
Ge 0.5000 0.5000 0.0000  6 La 3.04-3.05
Ge 0.5000 0.5000 0.5000  6 La 3.04-3.05
Ge 0.0000 0.5000 0.5000  6 La 3.04-3.05
Pb 0.0000 0.5000 0.0000  6 La 3.18
I 0.5000 0.0000 0.0000  6 La 3.35
I 0.5000 0.0000 0.5000  6 La 3.48
I 0.0000 0.0000 0.0000  6 La 3.48
I 0.0000 0.0000 0.5000  6 La 3.48

=====

Sequential ΔE_f (raw) output: -0.8069, -1.0021, -0.7952, -0.9895, 2.0306, -1.2203, -1.0235, -1.0378 eV/atom